## P
A relaxed Tl2PPt crystal, computed with GGA-PBE.

volume: 21.3 Å³/atom
total moment: 0.0000 μB/atom
space-group type: No. 225
ρ: 12.36 Mg/m³

```
Tl2PPt
1.0
0.0000 3.4935 3.4935
3.4935 0.0000 3.4935
3.4935 3.4935 0.0000
Tl P Pt
2 1 1
Direct
0.2500 0.2500 0.2500
0.7500 0.7500 0.7500
0.0000 0.0000 0.0000
0.5000 0.5000 0.5000
```

## Q
A relaxed Tl2PPt crystal, computed with GGA-PBE.

volume: 23.7 Å³/atom
total moment: 0.0000 μB/atom
space-group type: No. 99
ρ: 11.10 Mg/m³

```
Tl2PPt
1.0
3.3225 0.0000 0.0000
0.0000 3.3225 0.0000
0.0000 0.0000 8.6034
Tl P Pt
2 1 1
Direct
0.0000 0.0000 0.0000
0.5000 0.5000 0.3574
0.0000 0.0000 0.6339
0.5000 0.5000 0.7192
```

## R
A relaxed Tl2PPt crystal, computed with GGA-PBE.

volume: 21.2 Å³/atom
total moment: 0.0000 μB/atom
space-group type: No. 139
ρ: 12.44 Mg/m³

```
Tl2PPt
1.0
-2.2912 2.2912 4.0347
2.2912 -2.2912 4.0347
2.2912 2.2912 -4.0347
Tl P Pt
2 1 1
Direct
0.2500 0.7500 0.5000
0.7500 0.2500 0.5000
0.0000 0.0000 0.0000
0.5000 0.5000 0.0000
```

## S
A relaxed Tl2PPt crystal, computed with GGA-PBE.

volume: 21.2 Å³/atom
total moment: 0.0000 μB/atom
space-group type: No. 65
ρ: 12.41 Mg/m³

```
Tl2PPt
1.0
2.1054 -2.4305 0.0000
2.1054 2.4305 0.0000
0.0000 0.0000 8.3022
Tl P Pt
2 1 1
Direct
0.0000 0.0000 0.2418
0.0000 0.0000 0.7582
0.5000 0.5000 0.5000
0.5000 0.5000 0.0000
```

Q takes first place; second place is 46.5 kJ/mol of atoms up.

## P
A relaxed TlP2Pt2 crystal, computed with GGA-PBE.

volume: 20.4 Å³/atom
total moment: 0.0000 μB/atom
space-group type: No. 139
ρ: 10.70 Mg/m³

```
TlP2Pt2
1.0
-2.2223 2.2223 5.1593
2.2223 -2.2223 5.1593
2.2223 2.2223 -5.1593
Tl P Pt
1 2 2
Direct
0.0000 0.0000 0.0000
0.2500 0.7500 0.5000
0.7500 0.2500 0.5000
0.3370 0.3370 0.0000
0.6630 0.6630 0.0000
```

## Q
A relaxed TlP2Pt2 crystal, computed with GGA-PBE.

volume: 21.5 Å³/atom
total moment: 0.0000 μB/atom
space-group type: No. 139
ρ: 10.12 Mg/m³

```
TlP2Pt2
1.0
-2.1192 2.1192 5.9966
2.1192 -2.1192 5.9966
2.1192 2.1192 -5.9966
Tl P Pt
1 2 2
Direct
0.0000 0.0000 0.0000
0.3459 0.3459 0.0000
0.6541 0.6541 0.0000
0.2500 0.7500 0.5000
0.7500 0.2500 0.5000
```

Q takes first place; second place is 3.2 kJ/mol of atoms up.

## P
A relaxed TlPPt4 crystal, computed with GGA-PBE.

volume: 18.1 Å³/atom
total moment: 0.0000 μB/atom
space-group type: No. 216
ρ: 15.53 Mg/m³

```
TlPPt4
1.0
0.0000 3.7867 3.7867
3.7867 0.0000 3.7867
3.7867 3.7867 0.0000
Tl P Pt
1 1 4
Direct
0.0000 0.0000 0.0000
0.7500 0.7500 0.7500
0.3755 0.3755 0.3755
0.3755 0.3755 0.8735
0.3755 0.8735 0.3755
0.8735 0.3755 0.3755
```

## Q
A relaxed TlPPt4 crystal, computed with GGA-PBE.

volume: 18.4 Å³/atom
total moment: 0.0000 μB/atom
space-group type: No. 63
ρ: 15.30 Mg/m³

```
TlPPt4
1.0
1.9769 -7.8509 0.0000
1.9769 7.8509 0.0000
0.0000 0.0000 7.1027
Tl P Pt
2 2 8
Direct
0.0915 0.9085 0.7500
0.9085 0.0915 0.2500
0.3990 0.6010 0.7500
0.6010 0.3990 0.2500
0.1789 0.8211 0.2500
0.3213 0.6787 0.0350
0.3213 0.6787 0.4650
0.5000 0.5000 0.0000
0.5000 0.5000 0.5000
0.6787 0.3213 0.5350
0.6787 0.3213 0.9650
0.8211 0.1789 0.7500
```

## R
A relaxed TlPPt4 crystal, computed with GGA-PBE.

volume: 17.5 Å³/atom
total moment: 0.0000 μB/atom
space-group type: No. 2
ρ: 16.03 Mg/m³

```
TlPPt4
1.0
5.3538 0.0000 0.0000
-0.0016 6.2053 0.0000
-0.4608 -3.0931 6.3330
Tl P Pt
2 2 8
Direct
0.2497 0.1462 0.0005
0.7503 0.8538 0.9995
0.0000 0.5000 0.5000
0.5000 0.0000 0.5000
0.1016 0.4641 0.8065
0.1180 0.0953 0.3744
0.3816 0.7209 0.6258
0.3975 0.6599 0.1927
0.6025 0.3401 0.8073
0.6184 0.2791 0.3742
0.8820 0.9047 0.6256
0.8984 0.5359 0.1935
```

R takes first place; second place is 3.6 kJ/mol of atoms up.

## P
A relaxed V3PPt crystal, computed with GGA-PBE.

volume: 20.8 Å³/atom
total moment: 1.0355 μB/atom
space-group type: No. 221
ρ: 6.04 Mg/m³

```
V3PPt
1.0
4.7052 0.0000 0.0000
0.0000 4.7052 0.0000
0.0000 0.0000 4.7052
V P Pt
3 1 1
Direct
0.0000 0.0000 0.5000
0.0000 0.5000 0.0000
0.5000 0.0000 0.0000
0.5000 0.5000 0.5000
0.0000 0.0000 0.0000
```

## Q
A relaxed V3PPt crystal, computed with GGA-PBE.

volume: 15.8 Å³/atom
total moment: 0.4832 μB/atom
space-group type: No. 221
ρ: 7.98 Mg/m³

```
V3PPt
1.0
4.2884 0.0000 0.0000
0.0000 4.2884 0.0000
0.0000 0.0000 4.2884
V P Pt
3 1 1
Direct
0.0000 0.0000 0.5000
0.0000 0.5000 0.0000
0.5000 0.0000 0.0000
0.0000 0.0000 0.0000
0.5000 0.5000 0.5000
```

Q takes first place; second place is 93.1 kJ/mol of atoms up.

## P
A relaxed VP2Pt crystal, computed with GGA-PBE.

volume: 19.1 Å³/atom
total moment: 0.0961 μB/atom
space-group type: No. 122
ρ: 6.71 Mg/m³

```
VP2Pt
1.0
-2.7113 2.7113 5.1877
2.7113 -2.7113 5.1877
2.7113 2.7113 -5.1877
V P Pt
2 4 2
Direct
0.0000 0.0000 0.0000
0.7500 0.2500 0.5000
0.1220 0.6250 0.9970
0.3750 0.3720 0.4970
0.6280 0.1250 0.0030
0.8750 0.8780 0.5030
0.2500 0.7500 0.5000
0.5000 0.5000 0.0000
```

## Q
A relaxed VP2Pt crystal, computed with GGA-PBE.

volume: 13.6 Å³/atom
total moment: 0.0000 μB/atom
space-group type: No. 225
ρ: 9.39 Mg/m³

```
VP2Pt
1.0
0.0000 3.0087 3.0087
3.0087 0.0000 3.0087
3.0087 3.0087 0.0000
V P Pt
1 2 1
Direct
0.0000 0.0000 0.0000
0.2500 0.2500 0.2500
0.7500 0.7500 0.7500
0.5000 0.5000 0.5000
```

P takes first place; second place is 4.2 kJ/mol of atoms up.

## P
A relaxed VPPt3 crystal, computed with GGA-PBE.

volume: 19.8 Å³/atom
total moment: 0.0000 μB/atom
space-group type: No. 221
ρ: 11.21 Mg/m³

```
VPPt3
1.0
4.6230 0.0000 0.0000
0.0000 4.6230 0.0000
0.0000 0.0000 4.6230
V P Pt
1 1 3
Direct
0.0000 0.0000 0.0000
0.5000 0.5000 0.5000
0.0000 0.0000 0.5000
0.0000 0.5000 0.0000
0.5000 0.0000 0.0000
```

## Q
A relaxed VPPt3 crystal, computed with GGA-PBE.

volume: 18.1 Å³/atom
total moment: 0.6614 μB/atom
space-group type: No. 221
ρ: 12.22 Mg/m³

```
VPPt3
1.0
4.4920 0.0000 0.0000
0.0000 4.4920 0.0000
0.0000 0.0000 4.4920
V P Pt
1 1 3
Direct
0.0000 0.0000 0.0000
0.5000 0.5000 0.5000
0.0000 0.5000 0.5000
0.5000 0.0000 0.5000
0.5000 0.5000 0.0000
```

Q takes first place; second place is 81.8 kJ/mol of atoms up.